Entry 1:
Compound: BAsAuBr2
Source: the Alexandria database
Functional: PBE
Structure: optimized geometry

Lattice parameters (Å, degrees): 4.522 4.522 4.867 90.00 90.00 90.00
Atoms (fractional coordinates):
As1 0.000 0.000 0.500
B1 0.000 0.000 0.000
Au1 0.500 0.500 0.500
Br1 0.000 0.500 0.000
Br2 0.500 0.000 0.000

- SG: No. 123
- Energy relative to the lowest polymorph listed for this composition: 0.000 eV per atom
- V: 99.51 Å³/f.u.
- Crystal system: tetragonal
- Formation energy from raw total energies: 0.87 eV/atom


Entry 2:
Compound: NaTiAl
Source: the Alexandria database
Functional: PBE
Structure: optimized geometry

Lattice parameters (Å, degrees): 4.920 4.920 5.533 90.00 90.00 120.00
Atoms (fractional coordinates):
Na1 0.000 0.000 0.000
Na2 0.000 0.000 0.500
Al1 0.333 0.667 0.750
Al2 0.667 0.333 0.250
Ti1 0.333 0.667 0.250
Ti2 0.667 0.333 0.750

- SG: No. 194
- Energy relative to the lowest polymorph listed for this composition: 0.316 eV per atom
- Calculated formation energy: 0.276 eV/atom
- V: 57.99 Å³/f.u.
- Crystal system: hexagonal


Entry 3:
Compound: NaLaCd3
Source: the Alexandria database
Functional: PBE
Structure: optimized geometry

Lattice parameters (Å, degrees): 6.161 6.161 6.161 90.00 90.00 90.00
Atoms (fractional coordinates):
Na1 0.500 0.500 0.500
Cd1 0.000 0.500 0.000
Cd2 0.000 0.000 0.500
Cd3 0.500 0.000 0.000
La1 0.000 0.000 0.000

- SG: No. 221
- Energy relative to the lowest polymorph listed for this composition: 0.304 eV per atom
- Calculated formation energy: 0.482 eV/atom
- V: 233.90 Å³/f.u.
- Crystal system: cubic


Entry 4:
Compound: FeCo2Cu
Source: the Alexandria database
Functional: PBE
Structure: optimized geometry

Lattice parameters (Å, degrees): 4.382 4.382 4.358 79.96 79.96 33.61
Each line ends with the local moment (μB).
Atoms (fractional coordinates):
Co1 0.997 0.997 0.008  1.64
Co2 0.253 0.253 0.240  1.55
Cu1 0.502 0.502 0.501  0.12
Fe1 0.748 0.748 0.751  2.62

- SG: No. 8
- Calculated formation energy: 0.092 eV/atom
- V: 45.56 Å³/f.u.
- Crystal system: monoclinic